No. 1
LiCu5Pt: relaxed, PBE.

Cell: 5.1241 7.4526 5.0830 Å, 90.00 90.00 90.00°
Closest atoms and distances in Å follow each position.
Element x y z (fractional)
Li (0.0000, 0.0000, 0.0000)  10 Cu 2.56-2.59
Li (0.5000, 0.5000, 0.0000)  10 Cu 2.56-2.59
Cu (0.0000, 0.5000, 0.0000)  2 Pt 2.54, 2 Li 2.56, 8 Cu 2.59
Cu (0.2500, 0.2500, 0.2500)  6 Cu 2.54-2.59, 2 Li 2.59, 2 Pt 2.59
Cu (0.2500, 0.2500, 0.7500)  6 Cu 2.54-2.59, 2 Li 2.59, 2 Pt 2.59
Cu (0.2500, 0.7500, 0.2500)  6 Cu 2.54-2.59, 2 Li 2.59, 2 Pt 2.59
Cu (0.2500, 0.7500, 0.7500)  6 Cu 2.54-2.59, 2 Li 2.59, 2 Pt 2.59
Cu (0.5000, 0.0000, 0.0000)  2 Pt 2.54, 2 Li 2.56, 8 Cu 2.59
Cu (0.7500, 0.2500, 0.2500)  6 Cu 2.54-2.59, 2 Li 2.59, 2 Pt 2.59
Cu (0.7500, 0.2500, 0.7500)  6 Cu 2.54-2.59, 2 Li 2.59, 2 Pt 2.59
Cu (0.7500, 0.7500, 0.2500)  6 Cu 2.54-2.59, 2 Li 2.59, 2 Pt 2.59
Cu (0.7500, 0.7500, 0.7500)  6 Cu 2.54-2.59, 2 Li 2.59, 2 Pt 2.59
Pt (0.0000, 0.5000, 0.5000)  10 Cu 2.54-2.59
Pt (0.5000, 0.0000, 0.5000)  10 Cu 2.54-2.59

Output
- M_tot (μB/f.u.) = 0.00
- ΔH_f (0 K) (eV/atom) = -0.03

No. 2
BaThAgTe4: relaxed, PBE.

Cell: 7.9294 6.4881 9.7659 Å, 90.00 109.18 90.00°
Closest atoms and distances in Å follow each position.
Element x y z (fractional)
Ba (0.2419, 0.2500, 0.0578)  6 Te 3.45-3.63
Ba (0.7581, 0.7500, 0.9422)  6 Te 3.45-3.63
Th (0.2751, 0.2500, 0.5629)  8 Te 3.17-3.46, 1 Ag 3.45
Th (0.7249, 0.7500, 0.4371)  8 Te 3.17-3.46, 1 Ag 3.45
Ag (0.2640, 0.7500, 0.3091)  4 Te 2.70-2.82
Ag (0.7360, 0.2500, 0.6909)  4 Te 2.70-2.82
Te (0.0289, 0.5104, 0.7152)  1 Ag 2.82, 1 Te 3.11
Te (0.0289, 0.9896, 0.7152)  1 Ag 2.82, 1 Te 3.11
Te (0.4363, 0.7500, 0.6040)  1 Ag 2.75
Te (0.4447, 0.7500, 0.1186)  1 Ag 2.70
Te (0.5553, 0.2500, 0.8814)  1 Ag 2.70
Te (0.5637, 0.2500, 0.3960)  1 Ag 2.75
Te (0.9711, 0.0104, 0.2848)  1 Ag 2.82, 1 Te 3.11
Te (0.9711, 0.4896, 0.2848)  1 Ag 2.82, 1 Te 3.11

Output
- M_tot (μB/f.u.) = 0.00
- formation energy (no corrections) (eV per atom) = -1.0385

No. 3
Dy5Th3N8: relaxed, PBE.

Cell: 7.0981 7.0981 7.0981 Å, 60.09 60.09 60.09°
Closest atoms and distances in Å follow each position.
Element x y z (fractional)
Dy (0.0000, 0.0000, 0.0000)  6 N 2.51
Dy (0.0000, 0.5000, 0.5000)  6 N 2.49-2.51
Dy (0.5000, 0.0000, 0.5000)  6 N 2.49-2.51
Dy (0.5000, 0.5000, 0.0000)  6 N 2.49-2.51
Dy (0.5000, 0.5000, 0.5000)  6 N 2.51
Th (0.0000, 0.0000, 0.5000)  6 N 2.52-2.53
Th (0.0000, 0.5000, 0.0000)  6 N 2.52-2.53
Th (0.5000, 0.0000, 0.0000)  6 N 2.52-2.53
N (0.2500, 0.2500, 0.7489)  4 Dy 2.51, 2 Th 2.52
N (0.2500, 0.7489, 0.2500)  4 Dy 2.51, 2 Th 2.52
N (0.2511, 0.7500, 0.7500)  4 Dy 2.51, 2 Th 2.52
N (0.2519, 0.2519, 0.2519)  3 Dy 2.49, 3 Th 2.53
N (0.7481, 0.7481, 0.7481)  3 Dy 2.49, 3 Th 2.53
N (0.7489, 0.2500, 0.2500)  4 Dy 2.51, 2 Th 2.52
N (0.7500, 0.2511, 0.7500)  4 Dy 2.51, 2 Th 2.52
N (0.7500, 0.7500, 0.2511)  4 Dy 2.51, 2 Th 2.52

Output
- M_tot (μB/f.u.) = 0.00
- formation energy (no corrections) (eV per atom) = -1.6520

Number 1: E -4.09 eV/atom. Number 2: E -4.58 eV/atom. Number 3: E -8.64 eV/atom.